# PBE NdCd4Rh2, relaxed
data_NdCd4Rh2
_chemical_formula_sum 'Nd2 Cd8 Rh4'
_cell_length_a 8.620
_cell_length_b 8.620
_cell_length_c 4.041
_cell_angle_alpha 90.00
_cell_angle_beta 90.00
_cell_angle_gamma 90.00
_space_group_name_H-M_alt 'P 1'
_space_group_IT_number 1
_space_group_name_Hall 'P 1'
loop_
_atom_site_label
_atom_site_fract_x
_atom_site_fract_y
_atom_site_fract_z
Nd1 0.000 0.000 0.000
Nd2 0.500 0.500 0.500
Cd1 0.100 0.340 0.500
Cd2 0.160 0.600 0.000
Cd3 0.340 0.100 0.500
Cd4 0.400 0.840 0.000
Cd5 0.600 0.160 0.000
Cd6 0.660 0.900 0.500
Cd7 0.840 0.400 0.000
Cd8 0.900 0.660 0.500
Rh1 0.176 0.824 0.500
Rh2 0.324 0.324 0.000
Rh3 0.676 0.676 0.000
Rh4 0.824 0.176 0.500
# - Offset from the most stable computed form: 0 meV per atom
# - Calculated formation energy: -0.291 eV/atom
# - Magnetization: 0.00 μB per formula unit
# - Calculated total energy: -50.340 eV per cell
# - SG: P4_2/mnm, No. 136

---

# PBE Nd23Cd4Rh7, relaxed
data_Nd23Cd4Rh7
_chemical_formula_sum 'Nd46 Cd8 Rh14'
_cell_length_a 10.005
_cell_length_b 10.005
_cell_length_c 22.597
_cell_angle_alpha 90.00
_cell_angle_beta 90.00
_cell_angle_gamma 120.00
_space_group_name_H-M_alt 'P 1'
_space_group_IT_number 1
_space_group_name_Hall 'P 1'
loop_
_atom_site_label
_atom_site_fract_x
_atom_site_fract_y
_atom_site_fract_z
Nd1 0.000 0.000 0.048
Nd2 0.000 0.000 0.548
Nd3 0.080 0.540 0.639
Nd4 0.083 0.541 0.910
Nd5 0.127 0.254 0.189
Nd6 0.127 0.873 0.189
Nd7 0.201 0.402 0.336
Nd8 0.201 0.799 0.336
Nd9 0.207 0.414 0.774
Nd10 0.207 0.793 0.774
Nd11 0.208 0.415 0.500
Nd12 0.208 0.792 0.500
Nd13 0.209 0.418 0.043
Nd14 0.209 0.791 0.043
Nd15 0.254 0.127 0.689
Nd16 0.333 0.667 0.198
Nd17 0.402 0.201 0.836
Nd18 0.414 0.207 0.274
Nd19 0.415 0.208 0.000
Nd20 0.418 0.209 0.543
Nd21 0.459 0.541 0.910
Nd22 0.459 0.917 0.910
Nd23 0.460 0.540 0.639
Nd24 0.460 0.920 0.639
Nd25 0.540 0.080 0.139
Nd26 0.540 0.460 0.139
Nd27 0.541 0.083 0.410
Nd28 0.541 0.459 0.410
Nd29 0.582 0.791 0.043
Nd30 0.585 0.792 0.500
Nd31 0.586 0.793 0.774
Nd32 0.598 0.799 0.336
Nd33 0.667 0.333 0.698
Nd34 0.746 0.873 0.189
Nd35 0.791 0.209 0.543
Nd36 0.791 0.582 0.543
Nd37 0.792 0.208 0.000
Nd38 0.792 0.585 0.000
Nd39 0.793 0.207 0.274
Nd40 0.793 0.586 0.274
Nd41 0.799 0.201 0.836
Nd42 0.799 0.598 0.836
Nd43 0.873 0.127 0.689
Nd44 0.873 0.746 0.689
Nd45 0.917 0.459 0.410
Nd46 0.920 0.460 0.139
Cd1 0.000 0.000 0.302
Cd2 0.000 0.000 0.802
Cd3 0.107 0.215 0.916
Cd4 0.107 0.893 0.916
Cd5 0.215 0.107 0.416
Cd6 0.785 0.893 0.916
Cd7 0.893 0.107 0.416
Cd8 0.893 0.785 0.416
Rh1 0.043 0.522 0.264
Rh2 0.143 0.285 0.616
Rh3 0.143 0.857 0.616
Rh4 0.285 0.143 0.116
Rh5 0.333 0.667 0.416
Rh6 0.478 0.522 0.264
Rh7 0.478 0.957 0.264
Rh8 0.522 0.043 0.764
Rh9 0.522 0.478 0.764
Rh10 0.667 0.333 0.916
Rh11 0.715 0.857 0.616
Rh12 0.857 0.143 0.116
Rh13 0.857 0.715 0.116
Rh14 0.957 0.478 0.764
# - Calculated formation energy: -0.450 eV/atom
# - Magnetization: 0.00 μB per formula unit
# - Calculated total energy: -360.133 eV per cell
# - SG: P6_3mc, No. 186

---

# PBE Nd2CdRh3, relaxed
data_Nd2CdRh3
_chemical_formula_sum 'Nd4 Cd2 Rh6'
_cell_length_a 4.745
_cell_length_b 5.538
_cell_length_c 9.920
_cell_angle_alpha 90.00
_cell_angle_beta 90.00
_cell_angle_gamma 90.00
_space_group_name_H-M_alt 'P 1'
_space_group_IT_number 1
_space_group_name_Hall 'P 1'
loop_
_atom_site_label
_atom_site_fract_x
_atom_site_fract_y
_atom_site_fract_z
Nd1 0.000 0.000 0.180
Nd2 0.000 0.000 0.820
Nd3 0.500 0.500 0.320
Nd4 0.500 0.500 0.680
Cd1 0.000 0.000 0.500
Cd2 0.500 0.500 0.000
Rh1 0.000 0.500 0.140
Rh2 0.000 0.500 0.500
Rh3 0.000 0.500 0.860
Rh4 0.500 0.000 0.000
Rh5 0.500 0.000 0.360
Rh6 0.500 0.000 0.640
# - Calculated formation energy: -0.287 eV/atom
# - Magnetization: 0.00 μB per formula unit
# - Calculated total energy: -68.455 eV per cell
# - SG: Immm, No. 71

---

> Among the records above, which one has the lowest calculated formation energy?

Nd23Cd4Rh7